Computed, not measured: CsBS after structural relaxation at the PBE level of DFT.

POSCAR file:
```
CsBS
1.0
-1.0624 -0.7009 -2.9264
1.3792 -6.7126 1.1069
-12.3888 -1.7352 4.9133
B Cs S
4 4 4
direct
0.2500 0.6290 0.4430 B
0.7500 0.3710 0.5570 B
0.7500 0.8710 0.9430 B
0.2500 0.1290 0.0570 B
0.7500 0.8090 0.6384 Cs
0.2500 0.1910 0.3616 Cs
0.2500 0.6910 0.1384 Cs
0.7500 0.3090 0.8616 Cs
0.2500 0.2746 0.6174 S
0.2500 0.7746 0.8826 S
0.7500 0.7254 0.3826 S
0.7500 0.2254 0.1174 S
```

Values from the calculation:
Formation energy (no corrections) (meV per atom): 170
SG: Pnma
VASP energy (eV per atom): -3.717

Computed, not measured: Sr2CdCu after structural relaxation at the PBE level of DFT.

POSCAR file:
```
Sr2CdCu
1.0
-4.9922 1.9478 -0.2858
-2.9500 0.4854 4.4564
-1.0981 4.8678 1.9740
Sr Cd Cu
2 1 1
direct
0.2500 0.2500 0.2500 Sr
0.0000 0.0000 0.0000 Sr
0.5000 0.5000 0.5000 Cd
0.7500 0.7500 0.7500 Cu
```

Values from the calculation:
SG: F-43m
VASP energy (eV per atom): -2.001
Energy of formation from the pure elements (eV/atom): 0.093

Computed, not measured: Sm4ScIn2 after structural relaxation at the PBE level of DFT.

POSCAR file:
```
Sm4ScIn2
1.0
8.3566 0.0000 -0.5230
0.0000 6.6206 0.0000
-3.7988 0.0000 7.7253
Sm In Sc
8 4 2
direct
0.4416 0.5024 0.7652 Sm
0.8975 0.2500 0.0999 Sm
0.0318 0.2500 0.5308 Sm
0.5584 0.0024 0.2348 Sm
0.5584 0.4976 0.2348 Sm
0.1025 0.7500 0.9001 Sm
0.9682 0.7500 0.4692 Sm
0.4416 0.9976 0.7652 Sm
0.8144 0.7500 0.0501 In
0.6721 0.7500 0.6091 In
0.1856 0.2500 0.9499 In
0.3279 0.2500 0.3909 In
0.2569 0.7500 0.3366 Sc
0.7431 0.2500 0.6634 Sc
```

Values from the calculation:
SG: P2_1/m
VASP energy (eV per atom): -4.539
Energy of formation from the pure elements (eV/atom): -0.155
Energy above the most stable polymorph in this dataset (kJ/mol of formula units): 0

Computed, not measured: Al2CrAg after structural relaxation at the PBE level of DFT.

POSCAR file:
```
Al2CrAg
1.0
-2.4713 -1.5483 -0.8096
1.8554 -1.3815 -3.0216
1.7233 -4.3421 3.0435
Cr Al Ag
1 2 1
direct
0.0000 0.0000 0.4792 Cr
0.0000 0.0000 0.9968 Al
0.5000 0.5000 0.2646 Al
0.5000 0.5000 0.7594 Ag
```

Values from the calculation:
SG: Pmm2
VASP energy (eV per atom): -4.893
Energy of formation from the pure elements (eV/atom): 0.097
Energy above the most stable polymorph in this dataset (kJ/mol of formula units): 60

Computed, not measured: AcYAg4 after structural relaxation at the PBE level of DFT.

POSCAR file:
```
AcYAg4
1.0
4.5775 -1.3269 0.7398
-1.3366 4.5730 0.7486
1.6197 1.6103 8.5542
Y Ag Ac
1 4 1
direct
0.0013 0.9973 0.4981 Y
0.5480 0.8771 0.2850 Ag
0.8811 0.5440 0.2851 Ag
0.4546 0.1174 0.7113 Ag
0.1215 0.4506 0.7112 Ag
0.5012 0.4973 0.9981 Ac
```

Values from the calculation:
SG: C2/m
VASP energy (eV per atom): -3.951
Energy of formation from the pure elements (eV/atom): -0.288
Energy above the most stable polymorph in this dataset (kJ/mol of formula units): 0

Computed, not measured: Dy5Tl2Pt2 after structural relaxation at the PBE level of DFT.

POSCAR file:
```
Dy5Tl2Pt2
1.0
7.3621 0.0000 0.0000
0.0000 8.2429 0.0000
0.0000 -4.1214 7.9126
Tl Dy Pt
4 10 4
direct
0.0000 0.7839 0.5678 Tl
0.5000 0.2839 0.5678 Tl
0.5000 0.7161 0.4322 Tl
0.0000 0.2161 0.4322 Tl
0.8406 0.5586 0.7622 Dy
0.6594 0.2965 0.2378 Dy
0.3406 0.7035 0.7622 Dy
0.5000 0.5000 0.0000 Dy
0.1594 0.2035 0.7622 Dy
0.1594 0.4414 0.2378 Dy
0.0000 0.0000 0.0000 Dy
0.3406 0.9414 0.2378 Dy
0.8406 0.7965 0.2378 Dy
0.6594 0.0586 0.7622 Dy
0.3649 0.1285 0.0000 Pt
0.8649 0.3715 0.0000 Pt
0.6351 0.8715 0.0000 Pt
0.1351 0.6285 0.0000 Pt
```

Values from the calculation:
SG: Cmce
VASP energy (eV per atom): -5.161
Energy of formation from the pure elements (eV/atom): -0.736

Computed, not measured: BaAlSiBr2 after structural relaxation at the PBE level of DFT.

POSCAR file:
```
BaAlSiBr2
1.0
-1.1227 5.2446 0.8891
0.7663 -0.6588 4.8539
5.2527 1.2366 -0.6615
Al Ba Br Si
1 1 2 1
direct
0.0000 0.0000 0.0000 Al
0.5000 0.5000 0.5000 Ba
0.0000 0.0000 0.5000 Br
0.5000 0.0000 0.0000 Br
0.0000 0.5000 0.0000 Si
```

Values from the calculation:
Formation energy (no corrections) (meV per atom): -572
SG: P4/mmm
VASP energy (eV per atom): -3.459

Computed, not measured: CsSb4Pd9 after structural relaxation at the PBE level of DFT.

POSCAR file:
```
CsSb4Pd9
1.0
-6.6619 6.0838 -0.7342
-1.2990 -2.4619 -8.6131
-0.5261 -6.5019 6.6941
Sb Pd Cs
8 18 2
direct
0.7921 0.9481 0.2402 Sb
0.0519 0.5519 0.7598 Sb
0.4481 0.2921 0.2402 Sb
0.2921 0.7921 0.2402 Sb
0.7079 0.2079 0.7598 Sb
0.9481 0.4481 0.2402 Sb
0.2079 0.0519 0.7598 Sb
0.5519 0.7079 0.7598 Sb
0.2047 0.9280 0.0000 Pd
0.0000 0.5000 0.0000 Pd
0.8112 0.3112 0.3707 Pd
0.6888 0.4405 0.6293 Pd
0.7047 0.5720 0.0000 Pd
0.4405 0.9405 0.6293 Pd
0.5720 0.2953 0.0000 Pd
0.5595 0.0595 0.3707 Pd
0.1888 0.6888 0.6293 Pd
0.3112 0.5595 0.3707 Pd
0.0720 0.2047 0.0000 Pd
0.7953 0.0720 0.0000 Pd
0.5000 0.0000 0.0000 Pd
0.9405 0.1888 0.6293 Pd
0.0595 0.8112 0.3707 Pd
0.2953 0.4280 0.0000 Pd
0.4280 0.7047 0.0000 Pd
0.9280 0.7953 0.0000 Pd
0.7500 0.7500 0.5000 Cs
0.2500 0.2500 0.5000 Cs
```

Values from the calculation:
Formation energy (no corrections) (meV per atom): -359
SG: I4/mcm
VASP energy (eV per atom): -4.936